No. 1
# Mn3MoAu

Crystalline Mn3MoAu at its relaxed geometry (PBE, the Alexandria database).

## Properties
Crystal system: cubic
Calculated formation energy in eV per atom: 1.253

Structure (POSCAR):
```
Mn3MoAu
1.0
4.568 0.000 0.000
0.000 4.568 0.000
0.000 0.000 4.568
Mn Au Mo
3 1 1
Cartesian
0.000 2.284 0.000 Mn
2.284 0.000 0.000 Mn
0.000 0.000 2.284 Mn
2.284 2.284 2.284 Au
0.000 0.000 0.000 Mo
```

***

No. 2
# UNbPt

Crystalline UNbPt at its relaxed geometry (PBE, the Alexandria database).

## Properties
Crystal system: trigonal
Calculated formation energy in eV per atom: -0.078
Energy above the lowest structure with this stoichiometry in eV per formula unit: 0.107

Structure (POSCAR):
```
UNbPt
1.0
2.808 0.000 0.000
0.000 4.814 0.000
0.000 -2.407 4.169
Pt Nb U
1 1 1
Cartesian
1.814 2.407 1.390 Pt
0.002 0.000 0.000 Nb
0.992 0.000 2.779 U
```

***

No. 3
# Ni2Pt

Crystalline Ni2Pt at its relaxed geometry (PBE, the Alexandria database).

## Properties
Crystal system: orthorhombic
Calculated formation energy in eV per atom: -0.078

Structure (POSCAR):
```
Ni2Pt
1.0
-0.516 -4.299 2.937
2.604 -1.707 -2.040
5.521 2.642 4.837
Pt Ni
4 8
Cartesian
3.577 -1.603 4.208 Pt
2.000 -4.759 1.440 Pt
5.609 1.395 4.294 Pt
4.032 -1.761 1.526 Pt
3.813 -3.934 3.064 Ni
5.903 -0.943 3.229 Ni
5.632 -3.099 4.686 Ni
1.977 -0.265 1.048 Ni
2.209 -2.676 -0.036 Ni
3.796 0.570 2.670 Ni
5.400 -0.688 5.770 Ni
1.706 -2.421 2.505 Ni
```

***

No. 4
# KHfIn

Crystalline KHfIn at its relaxed geometry (PBE, the Alexandria database).

## Properties
Crystal system: triclinic
Calculated formation energy in eV per atom: 0.305
Energy above the lowest structure with this stoichiometry in eV per formula unit: 0.885

Structure (POSCAR):
```
KHfIn
1.0
-0.096 -2.560 -6.101
3.077 -0.541 -0.649
-0.799 -8.736 3.102
K In Hf
2 2 2
Cartesian
1.325 -2.112 -2.317 K
1.365 -9.884 -3.514 K
-0.182 -4.457 0.522 In
0.384 -3.967 -4.991 In
0.721 -6.887 -0.985 Hf
1.968 -6.166 -3.503 Hf
```

***

No. 5
# Fe2Ni5Pd

Crystalline Fe2Ni5Pd at its relaxed geometry (PBE, the Alexandria database).

## Properties
Crystal system: orthorhombic
Calculated formation energy in eV per atom: -0.076

Structure (POSCAR):
```
Fe2Ni5Pd
1.0
3.602 0.000 0.000
0.000 5.118 0.000
0.000 0.000 10.221
Ni Fe Pd
10 4 2
Cartesian
0.000 2.559 5.110 Ni
1.801 3.874 8.901 Ni
0.000 0.002 7.698 Ni
0.000 0.000 0.000 Ni
1.801 3.803 3.791 Ni
0.000 5.116 2.523 Ni
1.801 1.244 1.320 Ni
0.000 2.557 2.588 Ni
1.801 1.315 6.430 Ni
0.000 2.561 7.633 Ni
1.801 1.335 3.780 Fe
1.801 1.225 8.891 Fe
1.801 3.784 6.441 Fe
1.801 3.894 1.330 Fe
0.000 2.559 0.000 Pd
0.000 0.000 5.110 Pd
```

***

No. 6
# Dy8Te2C3

Crystalline Dy8Te2C3 at its relaxed geometry (PBE, the Alexandria database).

## Properties
Crystal system: monoclinic
Energy above the lowest structure with this stoichiometry in eV per formula unit: 0.000

Structure (POSCAR):
```
Dy8Te2C3
1.0
-3.536 -5.317 -0.694
5.774 -4.068 1.751
-3.619 4.068 6.266
Dy C Te
8 3 2
Cartesian
-1.281 -2.652 5.858 Dy
-0.465 -6.500 1.552 Dy
-3.284 -4.367 0.683 Dy
1.903 -0.951 6.639 Dy
2.877 -4.762 2.367 Dy
-4.258 -0.555 4.955 Dy
-0.100 -2.665 1.464 Dy
-0.916 1.183 5.771 Dy
1.435 -1.011 0.435 C
-1.768 -2.659 -0.347 C
4.339 -3.057 1.316 C
0.115 -4.651 3.937 Te
-1.496 -0.667 3.385 Te
```

***

No. 7
# TeOs2W

Crystalline TeOs2W at its relaxed geometry (PBE, the Alexandria database).

## Properties
Crystal system: orthorhombic

Structure (POSCAR):
```
TeOs2W
1.0
2.919 0.000 0.000
0.000 3.840 0.000
0.000 0.000 6.130
W Te Os
1 1 2
Cartesian
1.459 1.920 4.809 W
0.000 0.000 2.999 Te
1.459 1.920 1.259 Os
0.000 0.000 0.128 Os
```

***

No. 8
# Ca4Ag2Pt

Crystalline Ca4Ag2Pt at its relaxed geometry (PBE, the Alexandria database).

## Properties
Crystal system: trigonal
Calculated formation energy in eV per atom: -0.439
Energy above the lowest structure with this stoichiometry in eV per formula unit: 0.000

Structure (POSCAR):
```
Ca4Ag2Pt
1.0
4.903 0.000 1.532
2.212 4.376 1.532
-0.095 -0.059 8.918
Ag Ca Pt
2 4 1
Cartesian
1.744 1.073 3.029 Ag
5.276 3.244 8.952 Ag
0.800 0.492 6.053 Ca
2.554 1.571 9.050 Ca
4.466 2.746 2.931 Ca
6.220 3.825 5.929 Ca
0.000 0.000 0.000 Pt
```

***

No. 9
# Rb4Y6F19

Crystalline Rb4Y6F19 at its relaxed geometry (PBE, the Alexandria database).

## Properties
Crystal system: cubic

Structure (POSCAR):
```
Rb4Y6F19
1.0
9.163 0.000 -3.240
-4.581 7.935 -3.240
0.000 0.000 9.719
Rb F Y
4 19 6
Cartesian
0.000 0.000 7.067 Rb
6.663 0.000 -2.356 Rb
1.250 2.165 0.884 Rb
-3.332 5.771 -2.356 Rb
-0.256 5.297 0.406 F
4.879 2.638 2.863 F
1.741 3.016 -2.463 F
0.134 5.508 -2.833 F
2.840 4.919 -4.016 F
-1.741 3.016 2.463 F
2.648 5.544 -1.100 F
0.122 5.065 3.646 F
-1.544 7.456 2.139 F
5.706 5.029 -2.169 F
4.427 2.391 6.103 F
0.000 0.000 0.000 F
-2.840 4.919 4.016 F
4.438 2.906 -0.376 F
-1.104 2.870 5.379 F
1.955 2.427 4.310 F
5.680 0.000 4.016 F
3.483 0.000 2.463 F
6.084 0.479 1.071 F
6.136 2.692 1.041 Y
0.818 3.968 5.438 Y
-1.554 5.243 2.198 Y
0.736 6.660 -1.041 Y
3.845 1.275 4.281 Y
3.763 3.968 -2.198 Y
```

***

No. 10
# Sc2CdSnPb

Crystalline Sc2CdSnPb at its relaxed geometry (PBE, the Alexandria database).

## Properties
Crystal system: tetragonal
Calculated formation energy in eV per atom: 0.391

Structure (POSCAR):
```
Sc2CdSnPb
1.0
5.403 0.000 0.000
0.000 5.796 0.000
0.000 0.000 5.403
Cd Sn Sc Pb
1 1 2 1
Cartesian
2.701 2.898 2.701 Cd
0.000 0.000 0.000 Sn
2.701 0.000 0.000 Sc
0.000 0.000 2.701 Sc
0.000 2.898 0.000 Pb
```

***

No. 11
# Ho3Tm4Zr

Crystalline Ho3Tm4Zr at its relaxed geometry (PBE, the Alexandria database).

## Properties
Crystal system: monoclinic
Calculated formation energy in eV per atom: 0.202
Energy above the lowest structure with this stoichiometry in eV per formula unit: 1.376

Structure (POSCAR):
```
Ho3Tm4Zr
1.0
3.337 0.000 -0.436
0.053 6.568 0.409
-0.249 2.618 11.079
Ho Zr Tm
3 1 4
Cartesian
2.765 4.340 8.171 Ho
0.377 4.845 2.881 Ho
0.027 3.284 0.204 Ho
1.669 0.000 -0.218 Zr
2.793 7.800 8.389 Tm
0.749 2.930 5.731 Tm
2.392 6.256 5.321 Tm
0.348 1.385 2.663 Tm
```

***

No. 12
# Al8CuIr2

Crystalline Al8CuIr2 at its relaxed geometry (PBE, the Alexandria database).

## Properties
Crystal system: monoclinic
Calculated formation energy in eV per atom: -0.302
Energy above the lowest structure with this stoichiometry in eV per formula unit: 1.791

Structure (POSCAR):
```
Al8CuIr2
1.0
-4.357 -1.244 -2.035
4.003 -1.393 -5.072
2.991 -5.892 -0.157
Al Ir Cu
8 2 1
Cartesian
2.331 -5.820 -2.901 Al
0.306 -2.708 -4.362 Al
0.361 -5.345 -4.818 Al
-2.187 -2.372 -2.621 Al
-0.120 -4.603 -2.292 Al
2.757 -3.925 -4.972 Al
2.276 -3.183 -2.446 Al
4.823 -6.156 -4.643 Al
2.459 -6.502 -5.446 Ir
0.178 -2.026 -1.818 Ir
0.000 0.000 0.000 Cu
```

***

Which total moment belongs to each record? In order, 7.97, 1.82, 7.58, 0.01, 19.44, 1.07, 0.00, 0.00, 0.00, 0.00, 0.00, 0.00 μB/cell.
Which E_tot belongs to each record? In order, -35.4, -27.6, -17.8, -12.9, -51.6, -77.8, -35.6, -22.8, -179.1, -19.3, -38.5, -55.1 eV/f.u..